[1]
Crystalline LiSc2Re at its relaxed geometry, computed with GGA-PBE.

```
data_LiSc2Re
_space_group_name_H-M_alt 'F -4 3 m'
_space_group_IT_number 216
_space_group_name_Hall 'F -4 2 3'
_cell_length_a 6.550
_cell_length_b 6.550
_cell_length_c 6.550
_cell_angle_alpha 90.00
_cell_angle_beta 90.00
_cell_angle_gamma 90.00
loop_
_atom_site_label
_atom_site_fract_x
_atom_site_fract_y
_atom_site_fract_z
Li1 0.000 0.000 0.000
Sc1 0.000 0.000 0.500
Sc2 0.250 0.250 0.250
Re1 0.250 0.250 0.750
```

Values from the calculation:
Calculated formation energy ... 0.32 eV/atom
VASP energy ... -25.74 eV/f.u.
Total moment ... 0.0 Bohr magnetons per cell

=====

[2]
Crystalline CdCu2Cl4 at its relaxed geometry, computed with GGA-PBE.

```
data_CdCu2Cl4
_space_group_name_H-M_alt 'P -4 2 m'
_space_group_IT_number 111
_cell_length_a 5.483
_cell_length_b 5.483
_cell_length_c 5.724
_cell_angle_alpha 90.00
_cell_angle_beta 90.00
_cell_angle_gamma 90.00
loop_
_space_group_symop_operation_xyz
'x,y,z'
'y,-x,-z'
'-x,-y,z'
'-y,x,-z'
'x,-y,-z'
'y,x,z'
'-x,y,-z'
'-y,-x,z'
loop_
_atom_site_label
_atom_site_fract_x
_atom_site_fract_y
_atom_site_fract_z
Cd1 0.000 0.000 0.000
Cu1 0.000 0.500 0.500
Cl1 0.257 0.257 0.270
```

Values from the calculation:
Raw formation energy ... -4.69 eV per formula unit
Excess energy over the best structure of this formula in the dataset ... 0 meV per atom
VASP energy ... -21.18 eV/f.u.
Total moment ... 0.0 Bohr magnetons per cell

=====

[3]
Crystalline K2AgW at its relaxed geometry, computed with GGA-PBE.

```
data_K2AgW
_space_group_name_H-M_alt 'C m m m'
_space_group_IT_number 65
_space_group_name_Hall '-C 2 2'
_cell_length_a 6.337
_cell_length_b 11.499
_cell_length_c 2.774
_cell_angle_alpha 90.00
_cell_angle_beta 90.00
_cell_angle_gamma 90.00
loop_
_atom_site_label
_atom_site_fract_x
_atom_site_fract_y
_atom_site_fract_z
K1 0.250 0.250 0.000
Ag1 0.000 0.000 0.500
W1 0.000 0.500 0.500
```

Values from the calculation:
Calculated formation energy ... 1.32 eV/atom
Excess energy over the best structure of this formula in the dataset ... 295 meV per atom
VASP energy ... -12.73 eV/f.u.
Total moment ... 1.7 Bohr magnetons per cell

=====

[4]
Crystalline Mn2AgOs at its relaxed geometry, computed with GGA-PBE.

```
data_Mn2AgOs
_space_group_name_H-M_alt 'P m m 2'
_space_group_IT_number 25
_cell_length_a 2.696
_cell_length_b 3.805
_cell_length_c 5.598
_cell_angle_alpha 90.00
_cell_angle_beta 90.00
_cell_angle_gamma 90.00
loop_
_space_group_symop_operation_xyz
'x,y,z'
'-x,-y,z'
'-x,y,z'
'x,-y,z'
loop_
_atom_site_label
_atom_site_fract_x
_atom_site_fract_y
_atom_site_fract_z
Mn1 0.000 0.000 0.000
Mn2 0.500 0.500 0.247
Ag1 0.500 0.500 0.743
Os1 0.000 0.000 0.450
```

Values from the calculation:
Calculated formation energy ... 0.36 eV/atom
VASP energy ... -30.98 eV/f.u.
Total moment ... 1.5 Bohr magnetons per cell

=====

[5]
Crystalline FePtSe2 at its relaxed geometry, computed with GGA-PBE.

```
data_FePtSe2
_space_group_name_H-M_alt 'C m m m'
_space_group_IT_number 65
_space_group_name_Hall '-C 2 2'
_cell_length_a 6.293
_cell_length_b 6.301
_cell_length_c 3.304
_cell_angle_alpha 90.00
_cell_angle_beta 90.00
_cell_angle_gamma 90.00
loop_
_atom_site_label
_atom_site_fract_x
_atom_site_fract_y
_atom_site_fract_z
Fe1 0.000 0.000 0.000
Pt1 0.000 0.500 0.000
Se1 0.250 0.250 0.500
```

Values from the calculation:
Raw formation energy ... 1.03 eV per formula unit
Excess energy over the best structure of this formula in the dataset ... 440 meV per atom
VASP energy ... -20.44 eV/f.u.
Total moment ... 5.5 Bohr magnetons per cell

=====

[6]
Crystalline Mg3TcBi at its relaxed geometry, computed with GGA-PBE.

```
data_Mg3TcBi
_space_group_name_H-M_alt 'P m -3 m'
_space_group_IT_number 221
_space_group_name_Hall '-P 4 2 3'
_cell_length_a 5.041
_cell_length_b 5.041
_cell_length_c 5.041
_cell_angle_alpha 90.00
_cell_angle_beta 90.00
_cell_angle_gamma 90.00
loop_
_atom_site_label
_atom_site_fract_x
_atom_site_fract_y
_atom_site_fract_z
Mg1 0.000 0.000 0.500
Tc1 0.000 0.000 0.000
Bi1 0.500 0.500 0.500
```

Values from the calculation:
Calculated formation energy ... 0.65 eV/atom
Excess energy over the best structure of this formula in the dataset ... 0 meV per atom
VASP energy ... -15.78 eV/f.u.
Total moment ... 0.0 Bohr magnetons per cell

=====

[7]
Crystalline NaNbAs2Br at its relaxed geometry, computed with GGA-PBE.

```
data_NaNbAs2Br
_space_group_name_H-M_alt 'P 4/m m m'
_space_group_IT_number 123
_space_group_name_Hall '-P 4 2'
_cell_length_a 4.983
_cell_length_b 4.983
_cell_length_c 5.592
_cell_angle_alpha 90.00
_cell_angle_beta 90.00
_cell_angle_gamma 90.00
loop_
_atom_site_label
_atom_site_fract_x
_atom_site_fract_y
_atom_site_fract_z
Na1 0.000 0.000 0.000
Nb1 0.500 0.500 0.500
As1 0.000 0.500 0.500
Br1 0.500 0.500 0.000
```

Values from the calculation:
Raw formation energy ... -1.33 eV per formula unit
Excess energy over the best structure of this formula in the dataset ... 0 meV per atom
VASP energy ... -23.69 eV/f.u.
Total moment ... 0.0 Bohr magnetons per cell

=====

[8]
Crystalline CsMnV3 at its relaxed geometry, computed with GGA-PBE.

```
data_CsMnV3
_space_group_name_H-M_alt 'P m -3 m'
_space_group_IT_number 221
_space_group_name_Hall '-P 4 2 3'
_cell_length_a 4.738
_cell_length_b 4.738
_cell_length_c 4.738
_cell_angle_alpha 90.00
_cell_angle_beta 90.00
_cell_angle_gamma 90.00
loop_
_atom_site_label
_atom_site_fract_x
_atom_site_fract_y
_atom_site_fract_z
Cs1 0.000 0.000 0.000
Mn1 0.500 0.500 0.500
V1 0.000 0.000 0.500
```

Values from the calculation:
Calculated formation energy ... 2.63 eV/atom
Excess energy over the best structure of this formula in the dataset ... 1314 meV per atom
VASP energy ... -24.22 eV/f.u.
Total moment ... 4.8 Bohr magnetons per cell

=====

[9]
Crystalline Ac2DyTi at its relaxed geometry, computed with GGA-PBE.

```
data_Ac2DyTi
_space_group_name_H-M_alt 'R -3 m'
_space_group_IT_number 166
_space_group_name_Hall '-R 3 2"'
_cell_length_a 3.6229
_cell_length_b 3.6229
_cell_length_c 37.3362
_cell_angle_alpha 90.00
_cell_angle_beta 90.00
_cell_angle_gamma 120.00
loop_
_atom_site_label
_atom_site_fract_x
_atom_site_fract_y
_atom_site_fract_z
Ac1 0.0000 0.0000 0.0841
Dy1 0.0000 0.0000 0.5000
Ti1 0.0000 0.0000 0.0000
```

Values from the calculation:
Calculated formation energy ... 0.61 eV/atom
VASP energy ... -18.28 eV/f.u.
Total moment ... 6.0 Bohr magnetons per cell

=====

[10]
Crystalline NbReO2F at its relaxed geometry, computed with GGA-PBE.

```
data_NbReO2F
_space_group_name_H-M_alt 'P 4/m m m'
_space_group_IT_number 123
_space_group_name_Hall '-P 4 2'
_cell_length_a 4.058
_cell_length_b 4.058
_cell_length_c 4.338
_cell_angle_alpha 90.00
_cell_angle_beta 90.00
_cell_angle_gamma 90.00
loop_
_atom_site_label
_atom_site_fract_x
_atom_site_fract_y
_atom_site_fract_z
Nb1 0.000 0.000 0.000
Re1 0.500 0.500 0.500
O1 0.000 0.500 0.000
F1 0.000 0.000 0.500
```

Values from the calculation:
Raw formation energy ... -2.85 eV per formula unit
VASP energy ... -37.15 eV/f.u.
Total moment ... 4.4 Bohr magnetons per cell

=====

[11]
Crystalline K2AcSO6 at its relaxed geometry, computed with GGA-PBE.

```
data_K2AcSO6
_space_group_name_H-M_alt 'P -3 m 1'
_space_group_IT_number 164
_space_group_name_Hall '-P 3 2"'
_cell_length_a 6.2141
_cell_length_b 6.2141
_cell_length_c 6.1271
_cell_angle_alpha 90.00
_cell_angle_beta 90.00
_cell_angle_gamma 120.00
loop_
_atom_site_label
_atom_site_fract_x
_atom_site_fract_y
_atom_site_fract_z
K1 0.3333 0.6667 0.4233
Ac1 0.0000 0.0000 0.0000
S1 0.0000 0.0000 0.5000
O1 0.1281 0.2563 0.6613
```

Values from the calculation:
Raw formation energy ... -15.60 eV per formula unit
VASP energy ... -55.78 eV/f.u.
Total moment ... 1.1 Bohr magnetons per cell

=====

[12]
Crystalline ZnInCl3 at its relaxed geometry, computed with GGA-PBE.

```
data_ZnInCl3
_space_group_name_H-M_alt 'A m m 2'
_space_group_IT_number 38
_cell_length_a 3.837
_cell_length_b 7.473
_cell_length_c 10.839
_cell_angle_alpha 90.00
_cell_angle_beta 90.00
_cell_angle_gamma 90.00
loop_
_space_group_symop_operation_xyz
'x,y,z'
'-x,-y,z'
'-x,y,z'
'x,-y,z'
'x,y+1/2,z+1/2'
'-x,-y+1/2,z+1/2'
'-x,y+1/2,z+1/2'
'x,-y+1/2,z+1/2'
loop_
_atom_site_label
_atom_site_fract_x
_atom_site_fract_y
_atom_site_fract_z
Zn1 0.000 0.000 0.000
In1 0.500 0.000 0.532
Cl1 0.000 0.244 0.389
Cl2 0.500 0.000 0.125
```

Values from the calculation:
Raw formation energy ... -5.03 eV per formula unit
Excess energy over the best structure of this formula in the dataset ... 19 meV per atom
VASP energy ... -14.59 eV/f.u.
Total moment ... 0.0 Bohr magnetons per cell